# 1
Entry from Alexandria: an optimized crystal structure of Ce2PaH (PBE).

Calculated values
For the calculated volume, the calculation gives 22.0 Å³ per atom. As for the crystal system: trigonal. The density of states at the Fermi level comes out at 10.2 states/eV/cell. The magnetic moment comes out at 0.2660 μB per atom. The value obtained for the energy above the most stable polymorph in this dataset is 160 meV per atom. As for the density: 9.67 g cm⁻³.

abc: 3.7513 3.7513 7.5334
angles: 75.58 75.58 60.00
Closest atoms and distances in Å follow each position.
Element x y z (fractional)
Ce  0.0718  0.0718  0.7846  3 H 2.61, 3 Pa 2.73
Ce  0.2756  0.2756  0.1733  3 H 2.55
Pa  0.4816  0.4816  0.5553  3 Ce 2.73
H  0.6710  0.6710  0.9869  6 Ce 2.55-2.61



# 2
Entry from Alexandria: an optimized crystal structure of CePaH4 (PBE).

Calculated values
For the calculated volume, the calculation gives 12.8 Å³ per atom. As for the crystal system: tetragonal. The density of states at the Fermi level comes out at 11.3 states/eV/cell. The magnetic moment comes out at 0.2686 μB per atom. As for the total energy: -31.2 eV per cell. As for the density: 8.13 g cm⁻³.

abc: 3.7278 3.7274 5.5127
angles: 89.99 90.00 90.00
Closest atoms and distances in Å follow each position.
Element x y z (fractional)
Ce  0.5013  0.4973  0.9981  8 H 2.36
Pa  0.0013  0.9973  0.4981  8 H 2.28
H  0.5013  0.9973  0.2607  2 Pa 2.28, 2 Ce 2.36
H  0.5013  0.9973  0.7355  2 Pa 2.28, 2 Ce 2.36
H  0.0013  0.4973  0.7356  2 Pa 2.28, 2 Ce 2.36
H  0.0013  0.4973  0.2607  2 Pa 2.28, 2 Ce 2.36



# 3
Entry from Alexandria: an optimized crystal structure of Ce2PaH12Rh3 (PBE).

Calculated values
For the calculated volume, the calculation gives 10.0 Å³ per atom. As for the crystal system: trigonal. The density of states at the Fermi level comes out at 13.6 states/eV/cell. The magnetic moment comes out at 0.1826 μB per atom. As for the total energy: -88.8 eV per cell. As for the density: 7.70 g cm⁻³.

abc: 6.0497 6.0497 6.0497
angles: 66.83 66.83 66.83
Closest atoms and distances in Å follow each position.
Element x y z (fractional)
Ce  0.5975  0.5975  0.5975  6 H 2.30-2.52
Ce  0.4025  0.4025  0.4025  6 H 2.30-2.52
Pa  0.0000  0.0000  0.0000  6 H 2.28
H  0.2835  0.2835  0.8733  2 Rh 1.80
H  0.8547  0.8547  0.4242  1 Rh 1.73
H  0.4242  0.8547  0.8547  1 Rh 1.73
H  0.8733  0.2835  0.2835  2 Rh 1.80
H  0.8547  0.4242  0.8547  1 Rh 1.73
H  0.2835  0.8733  0.2835  2 Rh 1.80
H  0.7165  0.7165  0.1267  2 Rh 1.80
H  0.1453  0.1453  0.5758  1 Rh 1.73
H  0.5758  0.1453  0.1453  1 Rh 1.73
H  0.1267  0.7165  0.7165  2 Rh 1.80
H  0.1453  0.5758  0.1453  1 Rh 1.73
H  0.7165  0.1267  0.7165  2 Rh 1.80
Rh  0.5000  0.0000  0.0000  6 H 1.73-1.80
Rh  0.0000  0.5000  0.0000  6 H 1.73-1.80
Rh  0.0000  0.0000  0.5000  6 H 1.73-1.80



# 4
Entry from Alexandria: an optimized crystal structure of Ce3H2Pb (PBE).

Calculated values
For the calculated volume, the calculation gives 21.7 Å³ per atom. As for the crystal system: monoclinic. The density of states at the Fermi level comes out at 27.7 states/eV/cell. The magnetic moment comes out at 0.4487 μB per atom. As for the total energy: -59.8 eV per cell. As for the density: 8.01 g cm⁻³.

abc: 3.4429 6.2639 12.7225
angles: 106.18 97.78 90.00
Closest atoms and distances in Å follow each position.
Element x y z (fractional)
Ce  0.2377  0.2541  0.4754  3 H 2.31-2.32
Ce  0.0249  0.7250  0.0497  2 H 2.36-2.38
Ce  0.3982  0.6781  0.7965  3 H 2.30-2.33
Ce  0.7623  0.7459  0.5246  3 H 2.31-2.32
Ce  0.6018  0.3219  0.2035  3 H 2.30-2.33
Ce  0.9751  0.2750  0.9503  2 H 2.36-2.38
H  0.3024  0.6001  0.6048  4 Ce 2.31-2.33
H  0.6976  0.3999  0.3952  4 Ce 2.31-2.33
H  0.9495  0.8788  0.8990  4 Ce 2.30-2.38, 1 H 2.57
H  0.0505  0.1212  0.1010  4 Ce 2.30-2.38, 1 H 2.57
Pb  0.3566  0.1394  0.7132  7 Ce 3.24-3.38, 2 H 3.27-3.52, 2 Pb 3.44
Pb  0.6434  0.8606  0.2868  7 Ce 3.24-3.38, 2 H 3.27-3.52, 2 Pb 3.44



# 5
Entry from Alexandria: an optimized crystal structure of Ce4HPb5 (PBE).

Calculated values
For the calculated volume, the calculation gives 28.2 Å³ per atom. As for the crystal system: monoclinic. The density of states at the Fermi level comes out at 24.0 states/eV/cell. The magnetic moment comes out at 0.4614 μB per atom. As for the total energy: -47.0 eV per cell. As for the density: 9.40 g cm⁻³.

abc: 3.5303 8.1528 10.0290
angles: 83.22 100.14 90.00
Closest atoms and distances in Å follow each position.
Element x y z (fractional)
Ce  0.6108  0.1371  0.2217  1 H 2.57
Ce  0.9453  0.1897  0.8906  2 H 2.50
Ce  0.3892  0.8629  0.7783  1 H 2.57
Ce  0.0547  0.8103  0.1094  2 H 2.50
H  0.5000  0.0000  0.0000  6 Ce 2.50-2.57
Pb  0.1623  0.4566  0.3245  3 Ce 3.37-3.40, 7 Pb 3.43-3.64
Pb  0.2207  0.8361  0.4413  4 Ce 3.31-3.54, 7 Pb 3.43-3.58
Pb  0.7793  0.1639  0.5587  4 Ce 3.31-3.54, 7 Pb 3.43-3.58
Pb  0.5000  0.5000  0.0000  6 Ce 3.37-3.46, 6 Pb 3.53-3.64
Pb  0.8377  0.5434  0.6755  3 Ce 3.37-3.40, 7 Pb 3.43-3.64



# 6
Entry from Alexandria: an optimized crystal structure of Ce2HPb2 (PBE).

Calculated values
For the calculated volume, the calculation gives 27.7 Å³ per atom. As for the crystal system: orthorhombic. The density of states at the Fermi level comes out at 21.9 states/eV/cell. The magnetic moment comes out at 0.2156 μB per atom. As for the total energy: -48.2 eV per cell. As for the density: 8.35 g cm⁻³.

abc: 4.5633 7.9872 7.9254
angles: 90.00 106.73 90.00
Closest atoms and distances in Å follow each position.
Element x y z (fractional)
Ce  0.4547  0.3971  0.9094  2 H 2.51-2.58
Ce  0.8432  0.0366  0.6864  2 H 2.54
Ce  0.1568  0.5366  0.3136  2 H 2.54
Ce  0.5453  0.8971  0.0906  2 H 2.51-2.58
H  0.4123  0.0843  0.8247  4 Ce 2.51-2.58
H  0.5877  0.5843  0.1753  4 Ce 2.51-2.58
Pb  0.9461  0.6873  0.8923  1 Pb 3.05, 5 Ce 3.20-3.26, 2 H 3.24
Pb  0.7981  0.4290  0.5962  1 Pb 3.05, 5 Ce 3.21-3.30
Pb  0.2019  0.9290  0.4038  1 Pb 3.05, 5 Ce 3.21-3.30
Pb  0.0539  0.1873  0.1077  1 Pb 3.05, 5 Ce 3.20-3.26, 2 H 3.24



> What is the calculated volume in the second record?

12.8 Å³ per atom



> Which of these has the lowest magnetic moment?

Ce2PaH12Rh3



> Which formula does entry 1 have?

Ce2PaH